VASP calculation (PBE-GGA) on Ca2BeSi4Ni3 after structural relaxation.

## Properties
E_form (uncorrected) = -0.54 eV per atom
V = 15.14 A^3/atom
magnetization = 0.00 μB/f.u.

Cell lengths 3.9395, 3.9395, 9.7550 Å; angles 90.00, 90.00, 90.00 degrees
With the nearest neighbours (Å) after each atom.
Space group P-4m2 (No. 115)
One atom of each set of equivalent atoms:
1 Ca 0.0000 0.5000 0.2476 [2 per cell]  8 Si 3.01-3.15, 6 Ni 3.04-3.12, 2 Be 3.12
2 Be 0.5000 0.5000 0.0000 [1 per cell]  4 Si 2.34
3 Si 0.0000 0.0000 0.5000 [1 per cell]  4 Ni 2.33
4 Si 0.0000 0.5000 0.8696 [2 per cell]  2 Be 2.34, 3 Ni 2.34-2.37
5 Si 0.5000 0.5000 0.5000 [1 per cell]  4 Ni 2.33
6 Ni 0.0000 0.0000 0.0000 [1 per cell]  4 Si 2.34
7 Ni 0.0000 0.5000 0.6271 [2 per cell]  5 Si 2.33-2.37

***

VASP calculation (PBE-GGA) on Rh2WBr after structural relaxation.

## Properties
distance to the lowest polymorph of the same formula = 0.000 eV per atom
E_form (uncorrected) = 0.15 eV per atom
V = 17.13 A^3/atom
magnetization = 0.00 μB/f.u.

Cell lengths 2.8624, 2.8883, 8.2897 Å; angles 90.00, 90.00, 90.00 degrees
With the nearest neighbours (Å) after each atom.
Space group Pmmm (No. 47)
One atom of each set of equivalent atoms:
1 Rh 0.0000 0.0000 0.2158 [2 per cell]  4 W 2.71, 2 Br 2.76, 4 Rh 2.86-2.89
2 W 0.5000 0.5000 0.0000 [1 per cell]  8 Rh 2.71, 4 W 2.86-2.89
3 Br 0.5000 0.0000 0.5000 [1 per cell]  4 Rh 2.76, 4 Br 2.86-2.89

***

VASP calculation (PBE-GGA) on Dy6Co2Pt after structural relaxation.

## Properties
distance to the lowest polymorph of the same formula = 0.000 eV per atom
V = 23.37 A^3/atom
magnetization = 0.00 μB/f.u.

Cell lengths 9.2997, 9.3767, 9.6478 Å; angles 90.00, 90.00, 90.00 degrees
With the nearest neighbours (Å) after each atom.
Space group Immm (No. 71)
One atom of each set of equivalent atoms:
1 Dy 0.0000 0.1861 0.1737 [8 per cell]  3 Co 2.69-2.86
2 Dy 0.1787 0.2282 0.5000 [8 per cell]  3 Co 2.93-2.94, 1 Pt 3.04
3 Dy 0.1884 0.5000 0.2527 [8 per cell]  1 Co 2.75, 2 Pt 2.96-3.00
4 Co 0.0000 0.0000 0.3855 [4 per cell]  1 Co 2.21
5 Co 0.1644 0.0000 0.0000 [4 per cell]  8 Dy 2.75-2.94, 1 Co 3.06
6 Pt 0.0000 0.5000 0.0000 [2 per cell]  4 Dy 3.00
7 Pt 0.0000 0.5000 0.5000 [2 per cell]  8 Dy 2.96-3.04, 2 Co 3.12

***

VASP calculation (PBE-GGA) on Zr6C3O2 after structural relaxation.

## Properties
E_form (uncorrected) = -1.49 eV per atom
V = 14.00 A^3/atom
magnetization = 0.00 μB/f.u.

Cell lengths 5.7537, 9.9199, 5.7269 Å; angles 90.00, 109.54, 90.00 degrees
With the nearest neighbours (Å) after each atom.
Space group C2/m (No. 12)
One atom of each set of equivalent atoms:
1 Zr 0.2430 0.1709 0.2393 [8 per cell]  3 C 2.27-2.33, 2 O 2.36
2 Zr 0.2480 0.0000 0.7685 [4 per cell]  3 C 2.25-2.30, 2 O 2.37
3 C 0.0000 0.0000 0.0000 [2 per cell]  6 Zr 2.25-2.33
4 C 0.0000 0.3334 0.0000 [4 per cell]  6 Zr 2.27-2.33
5 O 0.0000 0.1658 0.5000 [4 per cell]  6 Zr 2.36-2.37